# Hf3PSe (PBE, optimized geometry)
data_Hf3PSe
_symmetry_space_group_name_H-M 'P m -3 m'
_symmetry_Int_Tables_number 221
_symmetry_space_group_name_Hall '-P 4 2 3'
_cell_length_a 4.832
_cell_length_b 4.832
_cell_length_c 4.832
_cell_angle_alpha 90.00
_cell_angle_beta 90.00
_cell_angle_gamma 90.00
loop_
_atom_site_label
_atom_site_fract_x
_atom_site_fract_y
_atom_site_fract_z
Hf1 0.000 0.000 0.500
P1 0.000 0.000 0.000
Se1 0.500 0.500 0.500
# **Formation energy from raw total energies**: 0.002 eV/atom
# **DOS at the Fermi energy**: 7.51 states/eV/f.u.
# **Relative energy among the computed polymorphs**: 790 meV per atom